Entry from Alexandria via LeMat-Bulk: Ca2TlIn after structural relaxation (GGA-PBEsol).

a = 5.3731 Å, b = 5.3731 Å, c = 5.3731 Å
α = 60.00°, β = 60.00°, γ = 60.00°
Atoms (fractional coordinates):
Tl 0.5000 0.5000 0.5000
Ca 0.2500 0.2500 0.2500
Ca 0.7500 0.7500 0.7500
In 0.0000 0.0000 0.0000

Output
The formation enthalpy at 0 K comes out at -0.50 eV per atom. The volume comes out at 27.423 A^3/atom. As for the energy: -2.9733 eV per atom. The value obtained for the density of states at the Fermi level is 2.1 states/eV/f.u. As for the symmetry: Fm-3m, No. 225.